(one)
## Cs2NaZn (PBE)

Data for an optimized crystal structure of Cs2NaZn.

a = 6.9840 Å, b = 6.9840 Å, c = 6.9840 Å
α = 60.00°, β = 60.00°, γ = 60.00°
Closest atoms and distances in Å follow each position.
Atoms (fractional coordinates):
Cs 0.2500 0.2500 0.2500  4 Zn 4.28, 4 Na 4.28
Cs 0.7500 0.7500 0.7500  4 Zn 4.28, 4 Na 4.28
Na 0.0000 0.0000 0.0000  8 Cs 4.28
Zn 0.5000 0.5000 0.5000  8 Cs 4.28

The total moment is 0.0 μB/f.u.

***

(two)
## Cs2NaZn (PBE)

Data for an optimized crystal structure of Cs2NaZn.

a = 4.8247 Å, b = 4.8247 Å, c = 13.5840 Å
α = 79.77°, β = 79.77°, γ = 60.00°
Closest atoms and distances in Å follow each position.
Atoms (fractional coordinates):
Cs 0.1043 0.1043 0.6872  3 Zn 3.74, 1 Na 4.16
Cs 0.8957 0.8957 0.3128  3 Zn 3.74, 1 Na 4.16
Na 0.0000 0.0000 0.0000  2 Cs 4.16
Zn 0.5000 0.5000 0.5000  6 Cs 3.74

The total moment is 0.0 μB/f.u.

***

(three)
## Cs2NaZn (PBE)

Data for an optimized crystal structure of Cs2NaZn.

a = 8.8494 Å, b = 8.8494 Å, c = 8.8494 Å
α = 102.70°, β = 102.70°, γ = 124.07°
Closest atoms and distances in Å follow each position.
Atoms (fractional coordinates):
Cs 0.6250 0.0784 0.9534  2 Zn 3.71
Cs 0.1250 0.6716 0.0466  2 Zn 3.71
Cs 0.9216 0.8750 0.5466  2 Zn 3.71
Cs 0.3284 0.3750 0.4534  2 Zn 3.71
Na 0.5000 0.5000 0.0000  2 Zn 4.15, 4 Cs 4.41
Na 0.7500 0.2500 0.5000  2 Zn 4.15, 4 Cs 4.41
Zn 0.0000 0.0000 0.0000  4 Cs 3.71, 2 Na 4.15
Zn 0.2500 0.7500 0.5000  4 Cs 3.71, 2 Na 4.15

The total moment is 0.0 μB/f.u.

***

(four)
## Cs2NaZn (PBE)

Data for an optimized crystal structure of Cs2NaZn.

a = 4.8147 Å, b = 4.8147 Å, c = 9.9579 Å
α = 90.00°, β = 90.00°, γ = 90.00°
Closest atoms and distances in Å follow each position.
Atoms (fractional coordinates):
Cs 0.0000 0.0000 0.7770  4 Zn 4.06, 4 Na 4.38, 1 Cs 4.44
Cs 0.0000 0.0000 0.2230  4 Zn 4.06, 4 Na 4.38, 1 Cs 4.44
Na 0.5000 0.5000 0.5000  8 Cs 4.38, 4 Na 4.81
Zn 0.5000 0.5000 0.0000  8 Cs 4.06

The total moment is 0.4 μB/f.u.

***

The structure with the greatest stability is (four).

***

(one)
## CsNa3Zn (PBE)

Data for an optimized crystal structure of CsNa3Zn.

a = 6.0569 Å, b = 6.0569 Å, c = 6.0569 Å
α = 90.00°, β = 90.00°, γ = 90.00°
Closest atoms and distances in Å follow each position.
Atoms (fractional coordinates):
Cs 0.5000 0.5000 0.5000  12 Na 4.28
Na 0.0000 0.5000 0.0000  2 Zn 3.03
Na 0.0000 0.0000 0.5000  2 Zn 3.03
Na 0.5000 0.0000 0.0000  2 Zn 3.03
Zn 0.0000 0.0000 0.0000  6 Na 3.03

The total moment is 0.0 μB/f.u.

***

(two)
## CsNa3Zn (PBE)

Data for an optimized crystal structure of CsNa3Zn.

a = 7.7526 Å, b = 7.7526 Å, c = 7.7526 Å
α = 90.00°, β = 90.00°, γ = 90.00°
Closest atoms and distances in Å follow each position.
Atoms (fractional coordinates):
Cs 0.0000 0.0000 0.0000  6 Na 3.88
Na 0.0000 0.5000 0.0000  2 Cs 3.88
Na 0.0000 0.0000 0.5000  2 Cs 3.88
Na 0.5000 0.0000 0.0000  2 Cs 3.88
Zn 0.5000 0.5000 0.5000  12 Na 5.48

The total moment is 0.0 μB/f.u.

***

The structure with the greatest stability is (one).

***

(one)
## CsNaZn2 (PBE)

Data for an optimized crystal structure of CsNaZn2.

a = 5.9271 Å, b = 5.9271 Å, c = 5.9271 Å
α = 60.00°, β = 60.00°, γ = 60.00°
Closest atoms and distances in Å follow each position.
Atoms (fractional coordinates):
Cs 0.5000 0.5000 0.5000  8 Zn 3.63
Na 0.0000 0.0000 0.0000  8 Zn 3.63
Zn 0.2500 0.2500 0.2500  4 Na 3.63, 4 Cs 3.63
Zn 0.7500 0.7500 0.7500  4 Cs 3.63, 4 Na 3.63

The total moment is 0.0 μB/f.u.

***

(two)
## CsNaZn2 (PBE)

Data for an optimized crystal structure of CsNaZn2.

a = 5.5796 Å, b = 5.5796 Å, c = 11.3289 Å
α = 75.74°, β = 75.74°, γ = 90.00°
Closest atoms and distances in Å follow each position.
Atoms (fractional coordinates):
Cs 0.0000 0.0000 0.0000  4 Na 3.95, 8 Zn 4.09-4.10
Cs 0.7500 0.2500 0.5000  4 Na 3.95, 8 Zn 4.09-4.10
Na 0.5000 0.5000 0.0000  4 Zn 3.00
Na 0.2500 0.7500 0.5000  4 Zn 3.00
Zn 0.3741 0.1250 0.2500  2 Zn 2.79, 2 Na 3.00
Zn 0.3759 0.6250 0.2500  2 Zn 2.79, 2 Na 3.00
Zn 0.3750 0.6259 0.7500  2 Zn 2.79, 2 Na 3.00
Zn 0.8750 0.6241 0.7500  2 Zn 2.79, 2 Na 3.00

The total moment is 0.0 μB/f.u.

***

The structure with the greatest stability is (two).

***

(one)
## CsNaZr3 (PBE)

Data for an optimized crystal structure of CsNaZr3.

a = 5.5667 Å, b = 5.5667 Å, c = 5.5667 Å
α = 90.00°, β = 90.00°, γ = 90.00°
Closest atoms and distances in Å follow each position.
Atoms (fractional coordinates):
Cs 0.0000 0.0000 0.0000  6 Zr 2.78
Na 0.5000 0.5000 0.5000  12 Zr 3.94
Zr 0.0000 0.5000 0.0000  2 Cs 2.78
Zr 0.0000 0.0000 0.5000  2 Cs 2.78
Zr 0.5000 0.0000 0.0000  2 Cs 2.78

The total moment is 2.5 μB/f.u.

***

(two)
## CsNaZr3 (PBE)

Data for an optimized crystal structure of CsNaZr3.

a = 5.5397 Å, b = 5.5397 Å, c = 5.5397 Å
α = 90.00°, β = 90.00°, γ = 90.00°
Closest atoms and distances in Å follow each position.
Atoms (fractional coordinates):
Cs 0.5000 0.5000 0.5000  12 Zr 3.92
Na 0.0000 0.0000 0.0000  6 Zr 2.77
Zr 0.0000 0.5000 0.0000  2 Na 2.77
Zr 0.0000 0.0000 0.5000  2 Na 2.77
Zr 0.5000 0.0000 0.0000  2 Na 2.77

The total moment is 0.0 μB/f.u.

***

The structure with the greatest stability is (two).

***

(one)
## CsNb2Ni (PBE)

Data for an optimized crystal structure of CsNb2Ni.

a = 4.7265 Å, b = 4.7265 Å, c = 4.7265 Å
α = 60.00°, β = 60.00°, γ = 60.00°
Closest atoms and distances in Å follow each position.
Atoms (fractional coordinates):
Cs 0.5000 0.5000 0.5000  8 Nb 2.89
Ni 0.0000 0.0000 0.0000  8 Nb 2.89
Nb 0.2500 0.2500 0.2500  4 Cs 2.89, 4 Ni 2.89
Nb 0.7500 0.7500 0.7500  4 Ni 2.89, 4 Cs 2.89

The total moment is 0.0 μB/f.u.

***

(two)
## CsNb2Ni (PBE)

Data for an optimized crystal structure of CsNb2Ni.

a = 4.5518 Å, b = 4.5518 Å, c = 10.2287 Å
α = 77.14°, β = 77.14°, γ = 90.00°
Closest atoms and distances in Å follow each position.
Atoms (fractional coordinates):
Cs 0.0000 0.0000 0.0000  4 Nb 3.20, 4 Ni 3.22
Cs 0.7500 0.2500 0.5000  4 Nb 3.20, 4 Ni 3.22
Ni 0.5000 0.5000 0.0000  4 Nb 2.73
Ni 0.2500 0.7500 0.5000  4 Nb 2.73
Nb 0.4895 0.1250 0.2500  2 Nb 2.50, 2 Ni 2.73
Nb 0.2605 0.6250 0.2500  2 Nb 2.50, 2 Ni 2.73
Nb 0.3750 0.5105 0.7500  2 Nb 2.50, 2 Ni 2.73
Nb 0.8750 0.7395 0.7500  2 Nb 2.50, 2 Ni 2.73

The total moment is 0.0 μB/f.u.

***

The structure with the greatest stability is (one).

***

(one)
## Cs2Nb2O (PBE)

Data for an optimized crystal structure of Cs2Nb2O.

a = 3.6760 Å, b = 3.6760 Å, c = 11.9784 Å
α = 81.17°, β = 81.17°, γ = 90.00°
Closest atoms and distances in Å follow each position.
Atoms (fractional coordinates):
Cs 0.4263 0.4263 0.1473  4 O 3.12, 1 Cs 3.44
Cs 0.5737 0.5737 0.8527  4 O 3.12, 1 Cs 3.44
Nb 0.7500 0.2500 0.5000  4 Nb 2.60
Nb 0.2500 0.7500 0.5000  4 Nb 2.60
O 0.0000 0.0000 0.0000  8 Cs 3.12

The total moment is 0.3 μB/f.u.

***

(two)
## Cs2Nb2O (PBE)

Data for an optimized crystal structure of Cs2Nb2O.

a = 7.1466 Å, b = 7.1466 Å, c = 7.6666 Å
α = 90.00°, β = 90.00°, γ = 90.00°
Closest atoms and distances in Å follow each position.
Atoms (fractional coordinates):
Cs 0.3255 0.8255 0.0000  2 O 2.64
Cs 0.8255 0.6745 0.0000  2 O 2.64
Cs 0.6745 0.1745 0.0000  2 O 2.64
Cs 0.1745 0.3255 0.0000  2 O 2.64
Nb 0.1052 0.6052 0.5000  1 Nb 2.13
Nb 0.6052 0.8948 0.5000  1 Nb 2.13
Nb 0.8948 0.3948 0.5000  1 Nb 2.13
Nb 0.3948 0.1052 0.5000  1 Nb 2.13
O 0.0000 0.0000 0.0000  4 Cs 2.64
O 0.5000 0.5000 0.0000  4 Cs 2.64

The total moment is 1.2 μB/f.u.

***

The structure with the greatest stability is (one).